[1]
First-principles (PBE) data for a relaxed structure of ZrBAu, as listed in the Alexandria database.

abc: 3.1507 4.8084 6.7672
angles: 88.51 89.93 70.89
Space group P1 (No. 1)
One atom of each set of equivalent atoms:
1 Zr 0.0000 0.0000 0.0000 x1
2 Zr 0.2633 0.4724 0.3589 x1
3 B 0.5363 0.9265 0.2806 x1
4 B 0.9748 0.0492 0.3494 x1
5 Au 0.2739 0.4559 0.8273 x1
6 Au 0.5449 0.9116 0.6231 x1

Values from the calculation:
VASP energy, eV per atom: -6.5311
Formation energy, eV/atom: -0.363
Total magnetic moment, μB per formula unit: 0.00

[2]
First-principles (PBE) data for a relaxed structure of ZrBAu, as listed in the Alexandria database.

abc: 9.1987 3.1309 6.7329
angles: 90.00 95.13 90.00
Space group Cm (No. 8)
One atom of each set of equivalent atoms:
1 Zr 0.0000 0.0000 0.0000 x2
2 Zr 0.2176 0.0000 0.6200 x2
3 B 0.2284 0.5000 0.9014 x2
4 B 0.2904 0.0000 0.9707 x2
5 Au 0.2386 0.5000 0.2487 x2
6 Au 0.4776 0.0000 0.4350 x2

Values from the calculation:
VASP energy, eV per atom: -6.5317
Formation energy, eV/atom: -0.364
Total magnetic moment, μB per formula unit: 0.00

[3]
First-principles (PBE) data for a relaxed structure of ZrBAu, as listed in the Alexandria database.

abc: 5.7279 3.0490 11.1452
angles: 90.00 90.00 90.00
Space group Pnma (No. 62)
One atom of each set of equivalent atoms:
1 Zr 0.1513 0.2500 0.1562 x4
2 B 0.0045 0.2500 0.6842 x4
3 Au 0.1812 0.2500 0.4285 x4

Values from the calculation:
VASP energy, eV per atom: -6.1704
Formation energy, eV/atom: -0.003
Total magnetic moment, μB per formula unit: 0.00

[4]
First-principles (PBE) data for a relaxed structure of Zr5B2Au, as listed in the Alexandria database.

abc: 6.5907 6.5907 13.1722
angles: 90.00 90.00 90.00
Space group I4/mcm (No. 140)
One atom of each set of equivalent atoms:
1 Zr 0.0000 0.0000 0.0000 x4
2 Zr 0.1759 0.3241 0.1290 x16
3 B 0.1010 0.3990 0.5000 x8
4 Au 0.0000 0.0000 0.2500 x4

Values from the calculation:
VASP energy, eV per atom: -7.8365
Formation energy, eV/atom: -0.415
Total magnetic moment, μB per formula unit: 0.00

[5]
First-principles (PBE) data for a relaxed structure of ZrBAu, as listed in the Alexandria database.

abc: 3.9836 14.9229 3.3011
angles: 90.00 90.00 90.00
Space group Cmcm (No. 63)
One atom of each set of equivalent atoms:
1 Zr 0.0000 0.0874 0.2500 x4
2 B 0.0000 0.4825 0.2500 x4
3 Au 0.0000 0.2560 0.7500 x4

Values from the calculation:
VASP energy, eV per atom: -6.4394
Formation energy, eV/atom: -0.272
Total magnetic moment, μB per formula unit: 0.00

[6]
First-principles (PBE) data for a relaxed structure of ZrBAu, as listed in the Alexandria database.

abc: 8.5139 3.1678 7.8526
angles: 90.00 90.00 90.00
Space group Pnma (No. 62)
One atom of each set of equivalent atoms:
1 Zr 0.0047 0.2500 0.2025 x4
2 B 0.0000 0.0000 0.5000 x4
3 Au 0.2380 0.2500 0.9397 x4

Values from the calculation:
VASP energy, eV per atom: -6.2147
Formation energy, eV/atom: -0.047
Total magnetic moment, μB per formula unit: 0.00

[7]
First-principles (PBE) data for a relaxed structure of ZrBAu, as listed in the Alexandria database.

abc: 3.5935 4.7089 5.6191
angles: 90.00 90.00 90.00
Space group Pmm2 (No. 25)
One atom of each set of equivalent atoms:
1 Zr 0.0000 0.0000 0.0000 x1
2 Zr 0.0000 0.5000 0.4180 x1
3 B 0.5000 0.1897 0.2327 x2
4 Au 0.5000 0.0000 0.5983 x1
5 Au 0.5000 0.5000 0.9115 x1

Values from the calculation:
VASP energy, eV per atom: -6.4909
Formation energy, eV/atom: -0.323
Total magnetic moment, μB per formula unit: 0.00

[8]
First-principles (PBE) data for a relaxed structure of ZrBAu, as listed in the Alexandria database.

abc: 3.6707 3.6707 9.4032
angles: 90.00 90.00 120.00
Space group P6_3/mmc (No. 194)
One atom of each set of equivalent atoms:
1 Zr 0.0000 0.0000 0.0000 x2
2 B 0.0000 0.0000 0.2500 x2
3 Au 0.3333 0.6667 0.2500 x2

Values from the calculation:
VASP energy, eV per atom: -5.8978
Formation energy, eV/atom: 0.270
Total magnetic moment, μB per formula unit: 0.00